[1]
A relaxed SrPH2 crystal. Source: Alexandria via LeMat-Bulk, functional PBE.

abc: 4.258 4.258 4.258
angles: 60.00 60.00 60.00
Atoms (fractional coordinates):
Sr1 0.000 0.000 0.000
P1 0.500 0.500 0.500
H1 0.250 0.250 0.250
H2 0.750 0.750 0.750

Values from the calculation:
Space group = Fm-3m
ρ = 3.7 Mg/m³
Uncorrected energy = -0.2503 Ry per atom
Crystal system = cubic

[2]
A relaxed Rb2UPd2S4 crystal. Source: Alexandria via LeMat-Bulk, functional PBE.

abc: 7.572 7.572 7.877
angles: 108.24 108.24 30.64
Atoms (fractional coordinates):
Rb1 0.136 0.136 0.071
Rb2 0.864 0.864 0.929
U1 0.000 0.000 0.500
Pd1 0.319 0.319 0.500
Pd2 0.681 0.681 0.500
S1 0.187 0.187 0.673
S2 0.486 0.486 0.722
S3 0.514 0.514 0.278
S4 0.813 0.813 0.327

Values from the calculation:
Space group = C2/m
ρ = 5.7 Mg/m³
Formation energy from raw total energies = -1037 meV/atom
Uncorrected energy = -0.4039 Ry per atom
Crystal system = monoclinic

[3]
A relaxed Ta3BRu crystal. Source: Alexandria via LeMat-Bulk, functional PBE.

abc: 4.314 4.314 4.314
angles: 90.00 90.00 90.00
Atoms (fractional coordinates):
Ta1 0.000 0.000 0.500
Ta2 0.000 0.500 0.000
Ta3 0.500 0.000 0.000
B1 0.000 0.000 0.000
Ru1 0.500 0.500 0.500

Values from the calculation:
Space group = Pm-3m
ρ = 13.5 Mg/m³
DFT formation energy = 0.05 eV/atom
Uncorrected energy = -0.7535 Ry per atom
Crystal system = cubic

[4]
A relaxed MgFeCl2 crystal. Source: Alexandria via LeMat-Bulk, functional PBE.

abc: 11.177 11.177 11.177
angles: 17.37 17.37 17.37
Atoms (fractional coordinates):
Mg1 0.000 0.000 0.000
Fe1 0.500 0.500 0.500
Cl1 0.378 0.378 0.378
Cl2 0.622 0.622 0.622

Values from the calculation:
Space group = R-3m
ρ = 2.3 Mg/m³
Formation energy from raw total energies = -489 meV/atom
Uncorrected energy = -0.2886 Ry per atom
Crystal system = trigonal

[5]
A relaxed Ca2LaZn crystal. Source: Alexandria via LeMat-Bulk, functional PBE.

abc: 3.718 3.718 9.649
angles: 90.00 90.00 90.00
Atoms (fractional coordinates):
Ca1 0.000 0.000 0.000
Ca2 0.500 0.500 0.312
La1 0.000 0.000 0.622
Zn1 0.500 0.500 0.813

Values from the calculation:
Space group = P4mm
ρ = 3.5 Mg/m³
DFT formation energy = -0.13 eV/atom
Uncorrected energy = -0.1967 Ry per atom
Crystal system = tetragonal

[6]
A relaxed Er2SiPt crystal. Source: Alexandria via LeMat-Bulk, functional PBE.

abc: 5.719 4.215 7.769
angles: 90.00 110.55 90.00
Atoms (fractional coordinates):
Er1 0.214 0.250 0.439
Er2 0.221 0.250 0.916
Er3 0.779 0.750 0.084
Er4 0.786 0.750 0.561
Si1 0.334 0.750 0.209
Si2 0.666 0.250 0.791
Pt1 0.357 0.750 0.714
Pt2 0.643 0.250 0.286

Values from the calculation:
Space group = P2_1/m
ρ = 10.6 Mg/m³
Formation energy from raw total energies = -1057 meV/atom
Uncorrected energy = -0.4560 Ry per atom
Crystal system = monoclinic

no.,magnetic moment (μB per formula unit)
1,0.000
2,0.772
3,0.000
4,3.367
5,0.000
6,0.000